Run one
CdHgSO | GGA-PBE | relaxed

The structure in extended XYZ format:
```
8
Lattice="4.832 0.000 0.000 0.000 4.832 0.000 0.000 0.000 7.925" Properties=species:S:1:pos:R:3 pbc="T T T"
Cd 1.208 3.624 0.000
Cd 3.624 1.208 0.000
Hg 1.208 1.208 2.516
Hg 3.624 3.624 5.409
S 1.208 1.208 6.713
S 3.624 3.624 1.212
O 1.208 1.208 5.172
O 3.624 3.624 2.753
```



Run two
CdHgSO | GGA-PBE | relaxed

The structure in extended XYZ format:
```
8
Lattice="1.855 -6.990 0.000 1.855 6.990 0.000 0.000 0.000 6.102" Properties=species:S:1:pos:R:3 pbc="T T T"
Cd 1.855 4.560 3.051
Cd 1.855 -4.560 0.000
Hg 1.855 0.837 2.829
Hg 1.855 -0.837 5.880
S 1.855 4.440 0.446
S 1.855 -4.440 3.497
O 1.855 1.225 0.514
O 1.855 -1.225 3.565
```



Each structure's energy above the most stable one, in kJ/mol of atoms: run one 18.7; run two 0.0.